Entry 1:
DFT (PBE) results for a relaxed structure of NaCuTcS3.

E above lowest polymorph   0.220 eV per formula unit
Volume   17.85 Å³/atom

CIF file:
```
data_NaCuTcS3
_space_group_name_H-M_alt 'C m c m'
_space_group_IT_number 63
_space_group_name_Hall '-C 2c 2'
_cell_length_a 3.5100
_cell_length_b 13.0763
_cell_length_c 9.3319
_cell_angle_alpha 90.00
_cell_angle_beta 90.00
_cell_angle_gamma 90.00
loop_
_atom_site_label
_atom_site_type_symbol
_atom_site_fract_x
_atom_site_fract_y
_atom_site_fract_z
_atom_site_occupancy
Na1 Na 0.0000 0.2485 0.2500 1
Cu1 Cu 0.0000 0.4607 0.7500 1
Tc1 Tc 0.0000 0.0000 0.0000 1
S1 S 0.0000 0.0743 0.7500 1
S2 S 0.0000 0.3718 0.5440 1
```


Entry 2:
DFT (PBE) results for a relaxed structure of RbZrSi.

E above lowest polymorph   2.680 eV per formula unit
Volume   28.45 Å³/atom

CIF file:
```
data_RbZrSi
_space_group_name_H-M_alt 'F -4 3 m'
_space_group_IT_number 216
_space_group_name_Hall 'F -4 2 3'
_cell_length_a 6.9893
_cell_length_b 6.9893
_cell_length_c 6.9893
_cell_angle_alpha 90.00
_cell_angle_beta 90.00
_cell_angle_gamma 90.00
loop_
_atom_site_label
_atom_site_type_symbol
_atom_site_fract_x
_atom_site_fract_y
_atom_site_fract_z
_atom_site_occupancy
Rb1 Rb 0.0000 0.0000 0.0000 1
Zr1 Zr 0.2500 0.2500 0.2500 1
Si1 Si 0.2500 0.2500 0.7500 1
```


Entry 3:
DFT (PBE) results for a relaxed structure of NdAgPbS3.

E above lowest polymorph   0.143 eV per formula unit
Volume   24.78 Å³/atom

CIF file:
```
data_NdAgPbS3
_space_group_name_H-M_alt 'P n m a'
_space_group_IT_number 62
_cell_length_a 13.3233
_cell_length_b 4.0967
_cell_length_c 10.8971
_cell_angle_alpha 90.00
_cell_angle_beta 90.00
_cell_angle_gamma 90.00
loop_
_space_group_symop_operation_xyz
'x,y,z'
'-x,-y,-z'
'-x+1/2,-y,z+1/2'
'x+1/2,y,-z+1/2'
'x+1/2,-y+1/2,-z+1/2'
'-x+1/2,y+1/2,z+1/2'
'-x,y+1/2,-z'
'x,-y+1/2,z'
loop_
_atom_site_label
_atom_site_type_symbol
_atom_site_fract_x
_atom_site_fract_y
_atom_site_fract_z
_atom_site_occupancy
Nd1 Nd 0.0176 0.2500 0.1719 1
Ag1 Ag 0.0078 0.7500 0.4096 1
Pb1 Pb 0.2288 0.2500 0.4646 1
S1 S 0.1080 0.2500 0.9354 1
S2 S 0.1151 0.7500 0.6206 1
S3 S 0.1489 0.7500 0.2509 1
```


Entry 4:
DFT (PBE) results for a relaxed structure of InPd3Se5.

VASP energy   -0.1506 hartree per atom
Volume   23.35 Å³/atom

CIF file:
```
data_InPd3Se5
_space_group_name_H-M_alt 'P 6/m m m'
_space_group_IT_number 191
_space_group_name_Hall '-P 6 2'
_cell_length_a 5.9498
_cell_length_b 5.9498
_cell_length_c 6.8533
_cell_angle_alpha 90.00
_cell_angle_beta 90.00
_cell_angle_gamma 120.00
loop_
_atom_site_label
_atom_site_type_symbol
_atom_site_fract_x
_atom_site_fract_y
_atom_site_fract_z
_atom_site_occupancy
In1 In 0.0000 0.0000 0.0000 1
Pd1 Pd 0.0000 0.5000 0.5000 1
Se1 Se 0.0000 0.0000 0.5000 1
Se2 Se 0.3333 0.6667 0.2343 1
```


Entry 5:
DFT (PBE) results for a relaxed structure of BaZr2.

E above lowest polymorph   0.253 eV per formula unit
Volume   30.90 Å³/atom

CIF file:
```
data_BaZr2
_space_group_name_H-M_alt 'P 1 21/m 1'
_space_group_IT_number 11
_cell_length_a 9.0239
_cell_length_b 5.3580
_cell_length_c 15.6110
_cell_angle_alpha 90.00
_cell_angle_beta 100.77
_cell_angle_gamma 90.00
loop_
_space_group_symop_operation_xyz
'x,y,z'
'-x,-y,-z'
'-x,y+1/2,-z'
'x,-y+1/2,z'
loop_
_atom_site_label
_atom_site_type_symbol
_atom_site_fract_x
_atom_site_fract_y
_atom_site_fract_z
_atom_site_occupancy
Ba1 Ba 0.1186 0.2500 0.2369 1
Ba2 Ba 0.1874 0.2500 0.7773 1
Ba3 Ba 0.2099 0.7500 0.3914 1
Ba4 Ba 0.3268 0.7500 0.1438 1
Zr1 Zr 0.0769 0.2500 0.9961 1
Zr2 Zr 0.1028 0.2500 0.5085 1
Zr3 Zr 0.2083 0.7500 0.6133 1
Zr4 Zr 0.2369 0.7500 0.9277 1
Zr5 Zr 0.4176 0.2500 0.0106 1
Zr6 Zr 0.4188 0.2500 0.6346 1
Zr7 Zr 0.4533 0.7500 0.7588 1
Zr8 Zr 0.4676 0.2500 0.4384 1
```


Entry 6:
DFT (PBE) results for a relaxed structure of Ba2UN3.

VASP energy   -0.2794 hartree per atom
Volume   20.81 Å³/atom

CIF file:
```
data_Ba2UN3
_space_group_name_H-M_alt 'C 1 2/c 1'
_space_group_IT_number 15
_cell_length_a 10.7699
_cell_length_b 7.2174
_cell_length_c 6.4257
_cell_angle_alpha 90.00
_cell_angle_beta 90.35
_cell_angle_gamma 90.00
loop_
_space_group_symop_operation_xyz
'x,y,z'
'-x,-y,-z'
'-x,y,-z+1/2'
'x,-y,z+1/2'
'x+1/2,y+1/2,z'
'-x+1/2,-y+1/2,-z'
'-x+1/2,y+1/2,-z+1/2'
'x+1/2,-y+1/2,z+1/2'
loop_
_atom_site_label
_atom_site_type_symbol
_atom_site_fract_x
_atom_site_fract_y
_atom_site_fract_z
_atom_site_occupancy
Ba1 Ba 0.1657 0.1490 0.2484 1
U1 U 0.0000 0.4063 0.7500 1
N1 N 0.0000 0.1216 0.7500 1
N2 N 0.1295 0.4999 0.0007 1
```


Entry 7:
DFT (PBE) results for a relaxed structure of Lu2AlGaFe4.

VASP energy   -0.2372 hartree per atom
Volume   16.16 Å³/atom

CIF file:
```
data_Lu2AlGaFe4
_space_group_name_H-M_alt 'P m m 2'
_space_group_IT_number 25
_cell_length_a 3.9401
_cell_length_b 4.8895
_cell_length_c 6.7113
_cell_angle_alpha 90.00
_cell_angle_beta 90.00
_cell_angle_gamma 90.00
loop_
_space_group_symop_operation_xyz
'x,y,z'
'-x,-y,z'
'-x,y,z'
'x,-y,z'
loop_
_atom_site_label
_atom_site_type_symbol
_atom_site_fract_x
_atom_site_fract_y
_atom_site_fract_z
_atom_site_occupancy
Lu1 Lu 0.0000 0.0000 0.0000 1
Lu2 Lu 0.0000 0.5000 0.3812 1
Al1 Al 0.5000 0.0000 0.3558 1
Ga1 Ga 0.5000 0.5000 0.0347 1
Fe1 Fe 0.0000 0.0000 0.5912 1
Fe2 Fe 0.0000 0.5000 0.7905 1
Fe3 Fe 0.5000 0.2502 0.6912 1
```


Entry 8:
DFT (PBE) results for a relaxed structure of LuCoBiW.

E above lowest polymorph   0.000 eV per formula unit
Volume   18.82 Å³/atom

CIF file:
```
data_LuCoBiW
_space_group_name_H-M_alt 'F -4 3 m'
_space_group_IT_number 216
_space_group_name_Hall 'F -4 2 3'
_cell_length_a 6.7030
_cell_length_b 6.7030
_cell_length_c 6.7030
_cell_angle_alpha 90.00
_cell_angle_beta 90.00
_cell_angle_gamma 90.00
loop_
_atom_site_label
_atom_site_type_symbol
_atom_site_fract_x
_atom_site_fract_y
_atom_site_fract_z
_atom_site_occupancy
Lu1 Lu 0.0000 0.0000 0.0000 1
Co1 Co 0.2500 0.2500 0.7500 1
Bi1 Bi 0.0000 0.0000 0.5000 1
W1 W 0.2500 0.2500 0.2500 1
```


Entry 9:
DFT (PBE) results for a relaxed structure of SiAsPd.

E above lowest polymorph   0.000 eV per formula unit
Volume   18.00 Å³/atom

CIF file:
```
data_SiAsPd
_space_group_name_H-M_alt 'F -4 3 m'
_space_group_IT_number 216
_space_group_name_Hall 'F -4 2 3'
_cell_length_a 6.0004
_cell_length_b 6.0004
_cell_length_c 6.0004
_cell_angle_alpha 90.00
_cell_angle_beta 90.00
_cell_angle_gamma 90.00
loop_
_atom_site_label
_atom_site_type_symbol
_atom_site_fract_x
_atom_site_fract_y
_atom_site_fract_z
_atom_site_occupancy
Si1 Si 0.0000 0.0000 0.0000 1
As1 As 0.0000 0.0000 0.5000 1
Pd1 Pd 0.2500 0.2500 0.2500 1
```